Compound: Sm8Y3Th
Source: Alexandria via LeMat-Bulk
Functional: PBE
Structure: optimized geometry

Unit cell a=6.6586 b=8.5553 c=8.5584 alpha=102.68 beta=109.64 gamma=109.70
Sites, in units of the cell vectors:
1 Sm 0.0000 0.0000 0.0000
2 Sm 0.0005 0.2579 0.7357
3 Sm 0.4923 0.7810 0.5472
4 Sm 0.4926 0.1122 0.8790
5 Sm 0.4954 0.0375 0.2916
6 Sm 0.4953 0.3712 0.6224
7 Sm 0.9916 0.6689 0.6595
8 Sm 0.9951 0.3302 0.3292
9 Y 0.4965 0.7071 0.9568
10 Y 0.5008 0.4511 0.2162
11 Y 0.9954 0.5943 0.0713
12 Th 0.9926 0.9227 0.4043

Values from the calculation:
Energy of formation from the pure elements in eV per atom: 0.053
Size of the total moment in μB per atom: 0.000



Compound: SmY3Th
Source: Alexandria via LeMat-Bulk
Functional: PBE
Structure: optimized geometry

Unit cell a=6.2991 b=6.8085 c=9.2955 alpha=71.56 beta=89.95 gamma=62.45
Sites, in units of the cell vectors:
1 Sm 0.1421 0.3933 0.3510
2 Sm 0.8579 0.6067 0.6490
3 Y 0.0679 0.1965 0.0508
4 Y 0.2643 0.8015 0.4494
5 Y 0.4654 0.3956 0.8525
6 Y 0.5346 0.6044 0.1475
7 Y 0.7357 0.1985 0.5506
8 Y 0.9321 0.8035 0.9492
9 Th 0.3225 0.0013 0.7495
10 Th 0.6775 0.9987 0.2505

Values from the calculation:
Energy of formation from the pure elements in eV per atom: 0.042
Size of the total moment in μB per atom: 0.000



Compound: Sm6Y8Th
Source: Alexandria via LeMat-Bulk
Functional: PBE
Structure: optimized geometry

Unit cell a=8.7371 b=8.7371 c=8.7371 alpha=62.91 beta=62.91 gamma=62.91
Sites, in units of the cell vectors:
1 Sm 0.0378 0.7308 0.6023
2 Sm 0.2692 0.3977 0.9622
3 Sm 0.3977 0.9622 0.2692
4 Sm 0.6023 0.0378 0.7308
5 Sm 0.7308 0.6023 0.0378
6 Sm 0.9622 0.2692 0.3977
7 Y 0.0775 0.0775 0.0775
8 Y 0.2159 0.2552 0.6126
9 Y 0.2552 0.6126 0.2159
10 Y 0.3874 0.7841 0.7448
11 Y 0.6126 0.2159 0.2552
12 Y 0.7448 0.3874 0.7841
13 Y 0.7841 0.7448 0.3874
14 Y 0.9225 0.9225 0.9225
15 Th 0.5000 0.5000 0.5000

Values from the calculation:
Energy of formation from the pure elements in eV per atom: 0.120
Size of the total moment in μB per atom: 0.000



Compound: Sm4Y5Th
Source: Alexandria via LeMat-Bulk
Functional: PBE
Structure: optimized geometry

Unit cell a=6.3641 b=6.3641 c=10.9070 alpha=97.10 beta=97.10 gamma=50.77
Sites, in units of the cell vectors:
1 Sm 0.0686 0.0686 0.2722
2 Sm 0.3595 0.3595 0.2337
3 Sm 0.6405 0.6405 0.7663
4 Sm 0.9314 0.9314 0.7278
5 Y 0.1781 0.1781 0.9441
6 Y 0.2218 0.2218 0.5987
7 Y 0.5000 0.5000 0.0000
8 Y 0.7782 0.7782 0.4013
9 Y 0.8219 0.8219 0.0559
10 Th 0.5000 0.5000 0.5000

Values from the calculation:
Energy of formation from the pure elements in eV per atom: 0.187
Size of the total moment in μB per atom: 0.000



Compound: Sm2Y4Th5
Source: Alexandria via LeMat-Bulk
Functional: PBE
Structure: optimized geometry

Unit cell a=8.8380 b=3.4838 c=11.7534 alpha=90.00 beta=94.16 gamma=90.00
Sites, in units of the cell vectors:
1 Sm 0.0547 0.0000 0.1357
2 Sm 0.9453 0.0000 0.8643
3 Y 0.1588 0.5000 0.4040
4 Y 0.3029 0.5000 0.9455
5 Y 0.6971 0.5000 0.0545
6 Y 0.8412 0.5000 0.5960
7 Th 0.2053 0.0000 0.6757
8 Th 0.4212 0.0000 0.2141
9 Th 0.5000 0.0000 0.5000
10 Th 0.5788 0.0000 0.7859
11 Th 0.7947 0.0000 0.3243

Values from the calculation:
Energy of formation from the pure elements in eV per atom: 0.131
Size of the total moment in μB per atom: 0.000



Compound: Sm12Y6Th
Source: Alexandria via LeMat-Bulk
Functional: PBE
Structure: optimized geometry

Unit cell a=8.8590 b=8.8590 c=8.8590 alpha=100.49 beta=100.49 gamma=100.49
Sites, in units of the cell vectors:
1 Sm 0.0000 0.2543 0.7457
2 Sm 0.0000 0.7457 0.2543
3 Sm 0.1556 0.1556 0.4266
4 Sm 0.1556 0.4266 0.1556
5 Sm 0.2543 0.0000 0.7457
6 Sm 0.2543 0.7457 0.0000
7 Sm 0.4266 0.1556 0.1556
8 Sm 0.5734 0.8444 0.8444
9 Sm 0.7457 0.0000 0.2543
10 Sm 0.7457 0.2543 0.0000
11 Sm 0.8444 0.5734 0.8444
12 Sm 0.8444 0.8444 0.5734
13 Y 0.1695 0.6029 0.6029
14 Y 0.3971 0.3971 0.8305
15 Y 0.3971 0.8305 0.3971
16 Y 0.6029 0.1695 0.6029
17 Y 0.6029 0.6029 0.1695
18 Y 0.8305 0.3971 0.3971
19 Th 0.5000 0.5000 0.5000

Values from the calculation:
Energy of formation from the pure elements in eV per atom: 0.207
Size of the total moment in μB per atom: 0.000



Compound: Sm5Y4Th2
Source: Alexandria via LeMat-Bulk
Functional: PBE
Structure: optimized geometry

Unit cell a=13.3461 b=13.3461 c=13.3461 alpha=165.22 beta=139.33 gamma=43.50
Sites, in units of the cell vectors:
1 Sm 0.0000 0.0000 0.0000
2 Sm 0.1657 0.3445 0.8212
3 Sm 0.4767 0.6555 0.8212
4 Sm 0.5233 0.3445 0.1788
5 Sm 0.8343 0.6555 0.1788
6 Y 0.2396 0.7396 0.5000
7 Y 0.3176 0.5000 0.8176
8 Y 0.6824 0.5000 0.1824
9 Y 0.7604 0.2604 0.5000
10 Th 0.1075 0.6075 0.5000
11 Th 0.8925 0.3925 0.5000

Values from the calculation:
Energy of formation from the pure elements in eV per atom: 0.485
Size of the total moment in μB per atom: 0.016



Compound: SmY3Th3
Source: Alexandria via LeMat-Bulk
Functional: PBE
Structure: optimized geometry

Unit cell a=9.5510 b=9.5510 c=5.8452 alpha=90.00 beta=90.00 gamma=120.00
Sites, in units of the cell vectors:
1 Sm 0.3333 0.6667 0.2500
2 Sm 0.6667 0.3333 0.7500
3 Y 0.0432 0.8042 0.2500
4 Y 0.1958 0.2390 0.2500
5 Y 0.2390 0.0432 0.7500
6 Y 0.7610 0.9568 0.2500
7 Y 0.8042 0.7610 0.7500
8 Y 0.9568 0.1958 0.7500
9 Th 0.1023 0.6154 0.7500
10 Th 0.3846 0.4869 0.7500
11 Th 0.4869 0.1023 0.2500
12 Th 0.5131 0.8977 0.7500
13 Th 0.6154 0.5131 0.2500
14 Th 0.8977 0.3846 0.2500

Values from the calculation:
Energy of formation from the pure elements in eV per atom: 0.062
Size of the total moment in μB per atom: 0.000



Compound: Sm7Y3Th
Source: Alexandria via LeMat-Bulk
Functional: PBE
Structure: optimized geometry

Unit cell a=10.1304 b=10.1304 c=8.2292 alpha=90.00 beta=90.00 gamma=64.63
Sites, in units of the cell vectors:
1 Sm 0.1031 0.6092 0.0589
2 Sm 0.1031 0.6092 0.4411
3 Sm 0.2473 0.7527 0.7500
4 Sm 0.2844 0.3819 0.7500
5 Sm 0.3819 0.2844 0.2500
6 Sm 0.3908 0.8969 0.0589
7 Sm 0.3908 0.8969 0.4411
8 Sm 0.6092 0.1031 0.5589
9 Sm 0.6092 0.1031 0.9411
10 Sm 0.6181 0.7156 0.7500
11 Sm 0.7156 0.6181 0.2500
12 Sm 0.7527 0.2473 0.2500
13 Sm 0.8969 0.3908 0.5589
14 Sm 0.8969 0.3908 0.9411
15 Y 0.1123 0.2147 0.2500
16 Y 0.2147 0.1123 0.7500
17 Y 0.5000 0.5000 0.0000
18 Y 0.5000 0.5000 0.5000
19 Y 0.7853 0.8877 0.2500
20 Y 0.8877 0.7853 0.7500
21 Th 0.0000 0.0000 0.0000
22 Th 0.0000 0.0000 0.5000

Values from the calculation:
Energy of formation from the pure elements in eV per atom: 0.292
Size of the total moment in μB per atom: 0.000



Compound: Sm4YTh
Source: Alexandria via LeMat-Bulk
Functional: PBE
Structure: optimized geometry

Unit cell a=3.5997 b=6.2470 c=9.5667 alpha=77.45 beta=79.28 gamma=73.61
Sites, in units of the cell vectors:
1 Sm 0.1639 0.0005 0.1717
2 Sm 0.1649 0.5067 0.6624
3 Sm 0.8351 0.4933 0.3376
4 Sm 0.8361 0.9995 0.8283
5 Y 0.5000 0.5000 0.0000
6 Th 0.5000 0.0000 0.5000

Values from the calculation:
Energy of formation from the pure elements in eV per atom: 0.032
Size of the total moment in μB per atom: 0.000



Compound: SmY2Th
Source: Alexandria via LeMat-Bulk
Functional: PBE
Structure: optimized geometry

Unit cell a=5.7128 b=5.7128 c=5.7128 alpha=60.00 beta=60.00 gamma=60.00
Sites, in units of the cell vectors:
1 Sm 0.0000 0.0000 0.0000
2 Y 0.2500 0.2500 0.2500
3 Y 0.7500 0.7500 0.7500
4 Th 0.5000 0.5000 0.5000

Values from the calculation:
Energy of formation from the pure elements in eV per atom: 0.139
Size of the total moment in μB per atom: 0.000



Compound: SmY4Th2
Source: Alexandria via LeMat-Bulk
Functional: PBE
Structure: optimized geometry

Unit cell a=3.5283 b=8.7995 c=8.8639 alpha=119.40 beta=90.10 gamma=101.48
Sites, in units of the cell vectors:
1 Sm 0.0000 0.0000 0.0000
2 Y 0.2957 0.5884 0.7059
3 Y 0.3528 0.7084 0.1541
4 Y 0.6472 0.2916 0.8459
5 Y 0.7043 0.4116 0.2941
6 Th 0.0674 0.1366 0.4353
7 Th 0.9326 0.8634 0.5647

Values from the calculation:
Energy of formation from the pure elements in eV per atom: 0.087
Size of the total moment in μB per atom: 0.000



Compound: SmY2Th
Source: Alexandria via LeMat-Bulk
Functional: PBE
Structure: optimized geometry

Unit cell a=5.0800 b=5.0800 c=5.0406 alpha=90.00 beta=90.00 gamma=90.00
Sites, in units of the cell vectors:
1 Sm 0.0000 0.0000 0.0000
2 Y 0.0000 0.5000 0.5000
3 Y 0.5000 0.0000 0.5000
4 Th 0.5000 0.5000 0.0000

Values from the calculation:
Energy of formation from the pure elements in eV per atom: 0.044
Size of the total moment in μB per atom: 0.000



Compound: Sm2Y5Th5
Source: Alexandria via LeMat-Bulk
Functional: PBE
Structure: optimized geometry

Unit cell a=8.0098 b=8.0098 c=11.3492 alpha=115.14 beta=115.14 gamma=36.91
Sites, in units of the cell vectors:
1 Sm 0.0839 0.0839 0.2490
2 Sm 0.9161 0.9161 0.7510
3 Y 0.3326 0.3326 0.4961
4 Y 0.4152 0.4152 0.2516
5 Y 0.5000 0.5000 0.0000
6 Y 0.5848 0.5848 0.7484
7 Y 0.6674 0.6674 0.5039
8 Th 0.0000 0.0000 0.5000
9 Th 0.1704 0.1704 0.0020
10 Th 0.2491 0.2491 0.7537
11 Th 0.7509 0.7509 0.2463
12 Th 0.8296 0.8296 0.9980

Values from the calculation:
Energy of formation from the pure elements in eV per atom: 0.050
Size of the total moment in μB per atom: 0.000



Compound: Sm2ThZn
Source: Alexandria via LeMat-Bulk
Functional: PBE
Structure: optimized geometry

Unit cell a=10.7318 b=10.7318 c=10.7318 alpha=19.37 beta=19.37 gamma=19.37
Sites, in units of the cell vectors:
1 Sm 0.0000 0.0000 0.0000
2 Sm 0.1881 0.1881 0.1881
3 Th 0.4279 0.4279 0.4279
4 Zn 0.5938 0.5938 0.5938

Values from the calculation:
Energy of formation from the pure elements in eV per atom: 0.000
Size of the total moment in μB per atom: 0.000



Compound: Sm4ThZn5
Source: Alexandria via LeMat-Bulk
Functional: PBE
Structure: optimized geometry

Unit cell a=3.6461 b=3.6461 c=18.2362 alpha=90.00 beta=90.00 gamma=90.00
Sites, in units of the cell vectors:
1 Sm 0.0000 0.0000 0.0996
2 Sm 0.0000 0.0000 0.2989
3 Sm 0.0000 0.0000 0.7011
4 Sm 0.0000 0.0000 0.9004
5 Th 0.0000 0.0000 0.5000
6 Zn 0.5000 0.5000 0.0000
7 Zn 0.5000 0.5000 0.1991
8 Zn 0.5000 0.5000 0.3970
9 Zn 0.5000 0.5000 0.6030
10 Zn 0.5000 0.5000 0.8009

Values from the calculation:
Energy of formation from the pure elements in eV per atom: -0.288
Size of the total moment in μB per atom: 0.000



Compound: SmTh4Zn5
Source: Alexandria via LeMat-Bulk
Functional: PBE
Structure: optimized geometry

Unit cell a=3.6634 b=3.6634 c=18.2872 alpha=90.00 beta=90.00 gamma=90.00
Sites, in units of the cell vectors:
1 Sm 0.0000 0.0000 0.0000
2 Th 0.0000 0.0000 0.1994
3 Th 0.0000 0.0000 0.3998
4 Th 0.0000 0.0000 0.6002
5 Th 0.0000 0.0000 0.8006
6 Zn 0.5000 0.5000 0.0962
7 Zn 0.5000 0.5000 0.2994
8 Zn 0.5000 0.5000 0.5000
9 Zn 0.5000 0.5000 0.7006
10 Zn 0.5000 0.5000 0.9038

Values from the calculation:
Energy of formation from the pure elements in eV per atom: -0.205
Size of the total moment in μB per atom: 0.000



Compound: SmThZn2
Source: Alexandria via LeMat-Bulk
Functional: PBE
Structure: optimized geometry

Unit cell a=5.1682 b=5.1682 c=5.1682 alpha=60.00 beta=60.00 gamma=60.00
Sites, in units of the cell vectors:
1 Sm 0.0000 0.0000 0.0000
2 Th 0.5000 0.5000 0.5000
3 Zn 0.2500 0.2500 0.2500
4 Zn 0.7500 0.7500 0.7500

Values from the calculation:
Energy of formation from the pure elements in eV per atom: -0.228
Size of the total moment in μB per atom: 0.000



Compound: Sm3ThZn2
Source: Alexandria via LeMat-Bulk
Functional: PBE
Structure: optimized geometry

Unit cell a=3.6098 b=3.6098 c=12.3828 alpha=90.00 beta=90.00 gamma=90.00
Sites, in units of the cell vectors:
1 Sm 0.0000 0.0000 0.0000
2 Sm 0.0000 0.0000 0.2975
3 Sm 0.0000 0.0000 0.7025
4 Th 0.5000 0.5000 0.5000
5 Zn 0.5000 0.5000 0.1481
6 Zn 0.5000 0.5000 0.8519

Values from the calculation:
Energy of formation from the pure elements in eV per atom: -0.207
Size of the total moment in μB per atom: 0.030



Compound: Sm2ThZn3
Source: Alexandria via LeMat-Bulk
Functional: PBE
Structure: optimized geometry

Unit cell a=3.6443 b=3.6443 c=10.9671 alpha=90.00 beta=90.00 gamma=90.00
Sites, in units of the cell vectors:
1 Sm 0.0000 0.0000 0.1656
2 Sm 0.0000 0.0000 0.8344
3 Th 0.0000 0.0000 0.5000
4 Zn 0.5000 0.5000 0.0000
5 Zn 0.5000 0.5000 0.3278
6 Zn 0.5000 0.5000 0.6722

Values from the calculation:
Energy of formation from the pure elements in eV per atom: -0.268
Size of the total moment in μB per atom: 0.000